DFT (PBE-GGA) results for an optimized crystal structure of TbSmTh.

Unit cell a=6.334 b=6.334 c=5.705 alpha=90.00 beta=90.00 gamma=91.92
Fractional positions:
Tb (0.000, 0.000, 0.000)
Tb (0.500, 0.500, 0.500)
Sm (0.177, 0.177, 0.500)
Sm (0.823, 0.823, 0.500)
Th (0.323, 0.677, 0.000)
Th (0.677, 0.323, 0.000)

Properties
Total moment, μB/f.u.: 0.0
Symmetry: No. 65
Raw total energy, eV per atom: -4.640
ΔE to the lowest computed polymorph, meV per atom: 928
DFT formation energy, eV/atom: 0.949

***

DFT (PBE-GGA) results for an optimized crystal structure of NbInPO2.

Unit cell a=3.970 b=3.970 c=5.292 alpha=90.00 beta=90.00 gamma=90.00
Fractional positions:
Nb (0.000, 0.000, 0.000)
In (0.500, 0.500, 0.500)
P (0.000, 0.000, 0.500)
O (0.000, 0.500, 0.000)
O (0.500, 0.000, 0.000)

Properties
Total moment, μB/f.u.: 0.0
Symmetry: No. 123
Raw total energy, eV per atom: -6.983
Formation energy (no corrections), kJ/mol of atoms: -130.9
ΔE to the lowest computed polymorph, meV per atom: 0

***

DFT (PBE-GGA) results for an optimized crystal structure of TlSiRu2.

Unit cell a=7.333 b=7.333 c=7.333 alpha=156.60 beta=154.31 gamma=35.03
Fractional positions:
Tl (0.000, 0.000, 0.000)
Si (0.743, 0.243, 0.500)
Ru (0.175, 0.675, 0.500)
Ru (0.363, 0.363, 0.000)

Properties
Total moment, μB/f.u.: 0.0
Symmetry: No. 44
Raw total energy, eV per atom: -6.562
Formation energy (no corrections), kJ/mol of atoms: 2.2
ΔE to the lowest computed polymorph, meV per atom: 49

***

DFT (PBE-GGA) results for an optimized crystal structure of Rb2HgPtBr6.

Unit cell a=7.852 b=7.852 c=7.852 alpha=119.79 beta=119.79 gamma=90.36
Fractional positions:
Rb (0.250, 0.750, 0.500)
Rb (0.750, 0.250, 0.500)
Hg (0.000, 0.000, 0.000)
Pt (0.500, 0.500, 0.000)
Br (0.269, 0.269, 0.000)
Br (0.272, 0.272, 0.543)
Br (0.272, 0.728, 0.000)
Br (0.728, 0.272, 0.000)
Br (0.728, 0.728, 0.457)
Br (0.731, 0.731, 0.000)

Properties
Total moment, μB/f.u.: 0.0
Symmetry: No. 139
Raw total energy, eV per atom: -2.723
Formation energy (no corrections), kJ/mol of atoms: -86.1

***

DFT (PBE-GGA) results for an optimized crystal structure of LaAl2Au2.

Unit cell a=8.094 b=8.094 c=3.139 alpha=90.00 beta=90.00 gamma=90.00
Fractional positions:
La (0.000, 0.000, 0.000)
La (0.500, 0.500, 0.000)
Al (0.162, 0.338, 0.500)
Al (0.338, 0.838, 0.500)
Al (0.662, 0.162, 0.500)
Al (0.838, 0.662, 0.500)
Au (0.127, 0.627, 0.000)
Au (0.373, 0.127, 0.000)
Au (0.627, 0.873, 0.000)
Au (0.873, 0.373, 0.000)

Properties
Total moment, μB/f.u.: 0.1
Symmetry: No. 127
Raw total energy, eV per atom: -4.152
DFT formation energy, eV/atom: -0.358

***

DFT (PBE-GGA) results for an optimized crystal structure of La4TbEr4.

Unit cell a=10.760 b=10.760 c=10.760 alpha=147.14 beta=147.14 gamma=47.16
Fractional positions:
La (0.000, 0.500, 0.500)
La (0.143, 0.143, 0.000)
La (0.500, 0.000, 0.500)
La (0.857, 0.857, 0.000)
Tb (0.000, 0.000, 0.000)
Er (0.113, 0.475, 0.000)
Er (0.475, 0.113, 0.000)
Er (0.525, 0.525, 0.638)
Er (0.887, 0.887, 0.362)

Properties
Total moment, μB/f.u.: 0.0
Symmetry: No. 121
Raw total energy, eV per atom: -4.016
ΔE to the lowest computed polymorph, meV per atom: 684
DFT formation energy, eV/atom: 0.716